Here is an optimized crystal structure of ErTm7Tl5 from Alexandria via LeMat-Bulk. Energies are from PBE.

Unit cell a=8.256 b=8.256 c=8.256 alpha=134.20 beta=98.10 gamma=99.32
Fractional coordinates of all 13 atoms:
Er1 0.000 0.000 0.000
Tm1 0.151 0.459 0.693
Tm2 0.200 0.700 0.500
Tm3 0.316 0.974 0.342
Tm4 0.340 0.340 0.000
Tm5 0.632 0.974 0.658
Tm6 0.656 0.656 0.000
Tm7 0.766 0.459 0.307
Tl1 0.451 0.464 0.486
Tl2 0.451 0.965 0.988
Tl3 0.734 0.234 0.500
Tl4 0.977 0.464 0.012
Tl5 0.977 0.965 0.514

Properties
* volume: 371.60 Å³/f.u.
* total magnetic moment: 0.2 μB per cell
* electronic total energy: -49.066 eV/cell
* crystal system: orthorhombic
* energy of formation from the pure elements: -0.105 eV per atom

***

Here is an optimized crystal structure of Mg4Nb2Ni from Alexandria via LeMat-Bulk. Energies are from PBE.

Unit cell a=7.532 b=7.532 c=7.532 alpha=141.06 beta=141.06 gamma=56.25
Fractional coordinates of all 7 atoms:
Mg1 0.000 0.500 0.500
Mg2 0.185 0.185 0.000
Mg3 0.500 0.000 0.500
Mg4 0.815 0.815 0.000
Nb1 0.412 0.412 0.000
Nb2 0.588 0.588 0.000
Ni1 0.000 0.000 0.000

Properties
* volume: 167.45 Å³/f.u.
* total magnetic moment: 0.0 μB per cell
* electronic total energy: -27.171 eV/cell
* crystal system: tetragonal
* energy of formation from the pure elements: 0.733 eV per atom

***

Here is an optimized crystal structure of Ba4Ga4SnSe12 from Alexandria via LeMat-Bulk. Energies are from PBE.

Unit cell a=13.955 b=13.955 c=6.562 alpha=90.00 beta=90.00 gamma=90.00
Fractional coordinates of all 42 atoms:
Ba1 0.020 0.307 0.045
Ba2 0.193 0.480 0.545
Ba3 0.307 0.980 0.955
Ba4 0.480 0.807 0.455
Ba5 0.520 0.193 0.455
Ba6 0.693 0.020 0.955
Ba7 0.807 0.520 0.545
Ba8 0.980 0.693 0.045
Ga1 0.142 0.755 0.546
Ga2 0.245 0.142 0.454
Ga3 0.255 0.642 0.046
Ga4 0.358 0.255 0.954
Ga5 0.642 0.745 0.954
Ga6 0.745 0.358 0.046
Ga7 0.755 0.858 0.454
Ga8 0.858 0.245 0.546
Sn1 0.000 0.000 0.500
Sn2 0.500 0.500 0.000
Se1 0.015 0.641 0.544
Se2 0.093 0.894 0.754
Se3 0.106 0.093 0.246
Se4 0.141 0.515 0.044
Se5 0.194 0.792 0.198
Se6 0.208 0.194 0.802
Se7 0.292 0.694 0.698
Se8 0.306 0.292 0.302
Se9 0.359 0.015 0.456
Se10 0.394 0.593 0.254
Se11 0.407 0.394 0.746
Se12 0.485 0.141 0.956
Se13 0.515 0.859 0.956
Se14 0.593 0.606 0.746
Se15 0.606 0.407 0.254
Se16 0.641 0.985 0.456
Se17 0.694 0.708 0.302
Se18 0.708 0.306 0.698
Se19 0.792 0.806 0.802
Se20 0.806 0.208 0.198
Se21 0.859 0.485 0.044
Se22 0.894 0.907 0.246
Se23 0.907 0.106 0.754
Se24 0.985 0.359 0.544

Properties
* volume: 638.89 Å³/f.u.
* total magnetic moment: 0.0 μB per cell
* electronic total energy: -180.816 eV/cell
* raw formation energy: -1.181 eV per atom
* crystal system: tetragonal

***

Here is an optimized crystal structure of GaCuPO2 from Alexandria via LeMat-Bulk. Energies are from PBE.

Unit cell a=3.622 b=3.622 c=5.943 alpha=90.00 beta=90.00 gamma=90.00
Fractional coordinates of all 5 atoms:
Ga1 0.000 0.000 0.000
Cu1 0.500 0.500 0.500
P1 0.000 0.000 0.500
O1 0.000 0.500 0.000
O2 0.500 0.000 0.000

Properties
* volume: 77.97 Å³/f.u.
* total magnetic moment: 1.8 μB per cell
* electronic total energy: -22.717 eV/cell
* raw formation energy: -0.054 eV per atom
* crystal system: tetragonal